PdNCl2 after structural relaxation. Source: the Alexandria database, functional GGA-PBE. Values from VASP.

The structure in Quantum ESPRESSO input format:
```
&SYSTEM
  ibrav = 0, nat = 8, ntyp = 3
/
ATOMIC_SPECIES
Pd 106.42 Pd.upf
N 14.01 N.upf
Cl 35.45 Cl.upf
CELL_PARAMETERS angstrom
-2.483 2.483 6.151
2.483 -2.483 6.151
2.483 2.483 -6.151
ATOMIC_POSITIONS angstrom
Pd 0.000 0.000 0.000
Pd 0.000 2.483 3.075
N 2.483 0.000 3.075
N 0.000 0.000 6.151
Cl 1.241 -0.975 4.613
Cl 1.507 1.241 1.538
Cl 1.241 3.458 -1.538
Cl 0.975 1.241 7.689
```

## Properties
E_form (uncorrected) = 1291 meV/atom
Distance to the lowest polymorph of the same formula = 326.5 meV/atom
Density of states at the Fermi level = 4.0 states/eV per cell

LiMg2Tc after structural relaxation. Source: the Alexandria database, functional GGA-PBE. Values from VASP.

The structure in Quantum ESPRESSO input format:
```
&SYSTEM
  ibrav = 0, nat = 4, ntyp = 3
/
ATOMIC_SPECIES
Li 6.94 Li.upf
Mg 24.30 Mg.upf
Tc 98.00 Tc.upf
CELL_PARAMETERS angstrom
2.727 0.000 0.000
0.000 4.528 0.000
0.000 0.000 5.566
ATOMIC_POSITIONS angstrom
Li 0.000 0.000 0.000
Mg 0.000 0.000 3.044
Mg 1.364 2.264 1.365
Tc 1.364 2.264 4.169
```

## Properties
Distance to the lowest polymorph of the same formula = 99.7 meV/atom
Density of states at the Fermi level = 3.4 states/eV per cell
ΔH_f (0 K) = 6.0 kcal/mol of atoms

Er2GaNi3 after structural relaxation. Source: the Alexandria database, functional GGA-PBE. Values from VASP.

The structure in Quantum ESPRESSO input format:
```
&SYSTEM
  ibrav = 0, nat = 12, ntyp = 3
/
ATOMIC_SPECIES
Er 167.26 Er.upf
Ga 69.72 Ga.upf
Ni 58.69 Ni.upf
CELL_PARAMETERS angstrom
5.358 -3.720 0.000
5.358 3.720 0.000
0.000 0.000 5.305
ATOMIC_POSITIONS angstrom
Er 3.476 2.385 3.978
Er 7.240 2.385 3.978
Er 3.476 -2.385 1.326
Er 7.240 -2.385 1.326
Ga 5.358 1.673 1.326
Ga 5.358 -1.673 3.978
Ni 0.000 0.000 0.000
Ni 0.000 0.000 2.652
Ni 4.068 0.000 0.000
Ni 4.068 0.000 2.652
Ni 6.649 0.000 0.000
Ni 6.649 0.000 2.652
```

## Properties
Distance to the lowest polymorph of the same formula = 155.6 meV/atom
Density of states at the Fermi level = 5.9 states/eV per cell
ΔH_f (0 K) = -9.0 kcal/mol of atoms

In2GaCu2 after structural relaxation. Source: the Alexandria database, functional GGA-PBE. Values from VASP.

The structure in Quantum ESPRESSO input format:
```
&SYSTEM
  ibrav = 0, nat = 5, ntyp = 3
/
ATOMIC_SPECIES
In 114.82 In.upf
Ga 69.72 Ga.upf
Cu 63.55 Cu.upf
CELL_PARAMETERS angstrom
-2.126 2.126 5.763
2.126 -2.126 5.763
2.126 2.126 -5.763
ATOMIC_POSITIONS angstrom
In 2.126 0.000 2.882
In 0.000 2.126 2.882
Ga 0.000 0.000 0.000
Cu 0.000 0.000 4.584
Cu 0.000 0.000 6.943
```

## Properties
Distance to the lowest polymorph of the same formula = 194.0 meV/atom
Density of states at the Fermi level = 2.1 states/eV per cell
ΔH_f (0 K) = 6.1 kcal/mol of atoms

Na3Pm3BiS8 after structural relaxation. Source: the Alexandria database, functional GGA-PBE. Values from VASP.

The structure in Quantum ESPRESSO input format:
```
&SYSTEM
  ibrav = 0, nat = 15, ntyp = 4
/
ATOMIC_SPECIES
Na 22.99 Na.upf
Pm 145.00 Pm.upf
Bi 208.98 Bi.upf
S 32.06 S.upf
CELL_PARAMETERS angstrom
4.078 2.355 6.744
-4.078 2.355 6.744
0.000 -4.709 6.744
ATOMIC_POSITIONS angstrom
Na -2.039 -1.177 6.744
Na -2.039 1.177 13.489
Na 0.000 2.355 6.744
Pm -4.078 0.000 10.116
Pm -2.039 1.177 3.372
Pm 2.039 1.177 3.372
Bi 0.000 0.000 10.116
S 0.000 0.000 4.922
S -1.983 -1.145 11.652
S 0.000 -2.290 8.580
S -1.983 1.145 8.580
S 1.983 -1.145 11.652
S 0.000 2.290 11.652
S 1.983 1.145 8.580
S 0.000 0.000 15.311
```

## Properties
E_form (uncorrected) = -1449 meV/atom
Density of states at the Fermi level = 1.7 states/eV per cell

AlBC after structural relaxation. Source: the Alexandria database, functional GGA-PBE. Values from VASP.

The structure in Quantum ESPRESSO input format:
```
&SYSTEM
  ibrav = 0, nat = 6, ntyp = 3
/
ATOMIC_SPECIES
Al 26.98 Al.upf
B 10.81 B.upf
C 12.01 C.upf
CELL_PARAMETERS angstrom
2.783 0.000 0.000
-1.392 2.410 0.000
0.000 0.000 8.098
ATOMIC_POSITIONS angstrom
Al 0.000 0.000 0.000
Al 0.000 1.607 2.330
B 0.000 1.607 6.193
B 1.392 0.803 4.186
C 0.000 1.607 4.434
C 1.392 0.803 6.701
```

## Properties
Distance to the lowest polymorph of the same formula = 126.1 meV/atom
Density of states at the Fermi level = 0.7 states/eV per cell
ΔH_f (0 K) = 2.5 kcal/mol of atoms

Ti2Sn2Ge after structural relaxation. Source: the Alexandria database, functional GGA-PBE. Values from VASP.

The structure in Quantum ESPRESSO input format:
```
&SYSTEM
  ibrav = 0, nat = 5, ntyp = 3
/
ATOMIC_SPECIES
Ti 47.87 Ti.upf
Sn 118.71 Sn.upf
Ge 72.64 Ge.upf
CELL_PARAMETERS angstrom
-1.966 1.966 6.899
1.966 -1.966 6.899
1.966 1.966 -6.899
ATOMIC_POSITIONS angstrom
Ti 0.000 0.000 1.249
Ti 0.000 0.000 12.550
Sn 1.966 0.000 3.450
Sn 0.000 1.966 3.450
Ge 0.000 0.000 6.899
```

## Properties
Distance to the lowest polymorph of the same formula = 403.3 meV/atom
Density of states at the Fermi level = 2.3 states/eV per cell
ΔH_f (0 K) = 2.5 kcal/mol of atoms

Ac8SnRu3Br4 after structural relaxation. Source: the Alexandria database, functional GGA-PBE. Values from VASP.

The structure in Quantum ESPRESSO input format:
```
&SYSTEM
  ibrav = 0, nat = 16, ntyp = 4
/
ATOMIC_SPECIES
Ac 227.00 Ac.upf
Sn 118.71 Sn.upf
Ru 101.07 Ru.upf
Br 79.90 Br.upf
CELL_PARAMETERS angstrom
4.478 2.585 8.130
-4.478 2.585 8.130
0.000 -5.171 8.130
ATOMIC_POSITIONS angstrom
Ac -2.424 -1.400 13.774
Ac 0.000 0.000 5.739
Ac 0.000 -2.799 10.617
Ac -2.424 1.400 10.617
Ac 2.424 -1.400 13.774
Ac 0.000 2.799 13.774
Ac 0.000 0.000 18.651
Ac 2.424 1.400 10.617
Sn 0.000 0.000 12.195
Ru -4.478 0.000 12.195
Ru -2.239 1.293 4.065
Ru 2.239 1.293 4.065
Br 0.000 0.000 0.000
Br -2.239 -1.293 8.130
Br -2.239 1.293 16.261
Br 0.000 2.585 8.130
```

## Properties
E_form (uncorrected) = -861 meV/atom
Density of states at the Fermi level = 8.8 states/eV per cell

density of states at the Fermi level of number 6 (AlBC)?
0.7 states/eV per cell

Which value of density of states at the Fermi level does entry 5 give?
1.7 states/eV per cell

Copy entry 4 word for word.
In2GaCu2 after structural relaxation. Source: the Alexandria database, functional GGA-PBE. Values from VASP.

The structure in Quantum ESPRESSO input format:
```
&SYSTEM
  ibrav = 0, nat = 5, ntyp = 3
/
ATOMIC_SPECIES
In 114.82 In.upf
Ga 69.72 Ga.upf
Cu 63.55 Cu.upf
CELL_PARAMETERS angstrom
-2.126 2.126 5.763
2.126 -2.126 5.763
2.126 2.126 -5.763
ATOMIC_POSITIONS angstrom
In 2.126 0.000 2.882
In 0.000 2.126 2.882
Ga 0.000 0.000 0.000
Cu 0.000 0.000 4.584
Cu 0.000 0.000 6.943
```

## Properties
Distance to the lowest polymorph of the same formula = 194.0 meV/atom
Density of states at the Fermi level = 2.1 states/eV per cell
ΔH_f (0 K) = 6.1 kcal/mol of atoms